Compound: Zn2TeOs
Source: the Alexandria database
Functional: GGA-PBE
Structure: relaxed

Structure (CIF):
```
data_Zn2TeOs
_chemical_formula_sum 'Zn2 Te1 Os1'
_symmetry_space_group_name_H-M 'P 1'
_symmetry_Int_Tables_number 1
_cell_length_a 3.9689
_cell_length_b 6.4400
_cell_length_c 6.4400
_cell_angle_alpha 27.97
_cell_angle_beta 90.00
_cell_angle_gamma 90.00
loop_
_symmetry_equiv_pos_as_xyz
'x,y,z'
loop_
_atom_site_label
_atom_site_fract_x
_atom_site_fract_y
_atom_site_fract_z
Zn1 0.0000 0.0000 0.0000
Zn2 0.5000 0.1260 0.1260
Te1 0.5000 0.8273 0.8273
Os1 0.0000 0.6699 0.6699
```

Output
total DFT energy (no corrections) = -3.890 eV/atom
total magnetic moment = 0.00 μB per formula unit
V = 19.301 Å³/atom
energy relative to the elements, uncorrected = 7.8 kcal/mol of atoms